1.
The following is a DFT calculation (PBE) of a geometry-optimized HgPdSe2I structure.

```
HgPdSe2I
1.0
5.1571 0.0000 0.0000
0.0000 6.3152 0.0000
0.0000 0.0000 5.1571
Pd Hg I Se
1 1 1 2
Direct
0.5000 0.5000 0.5000
0.0000 0.0000 0.0000
0.0000 0.5000 0.0000
0.5000 0.0000 0.0000
0.0000 0.0000 0.5000
```

## Properties
The symmetry is No. 123. The calculation puts the uncorrected formation energy at 84.2 kJ/mol of atoms.


2.
The following is a DFT calculation (PBE) of a geometry-optimized KBaCu structure.

```
KBaCu
1.0
-4.9511 0.7960 -6.5789
-6.8075 -1.9937 -4.2557
-2.7513 2.7834 1.1439
Cu K Ba
1 1 1
Direct
0.3475 0.3472 0.6525
0.6999 0.7000 0.3001
0.9526 0.9528 0.0474
```

## Properties
The symmetry is No. 107. The value obtained for the polymorph energy (0 for the lowest one) is 63.1 kJ/mol of formula units. Its formation energy is 0.180 eV/atom.


3.
The following is a DFT calculation (PBE) of a geometry-optimized Si2AgCl structure.

```
Si2AgCl
1.0
-1.5426 -2.6250 0.1002
0.6957 1.2768 -2.6769
7.6541 -4.5041 -0.1591
Cl Ag Si
1 1 2
Direct
0.5000 0.5000 0.7500
0.5000 0.5000 0.2500
0.0000 0.0000 0.9930
0.0000 0.0000 0.5070
```

## Properties
The symmetry is No. 65. The calculation puts the uncorrected formation energy at 43.3 kJ/mol of atoms. The value obtained for the polymorph energy (0 for the lowest one) is 164.1 kJ/mol of formula units.


Calculated spin magnetization in order - 2.16; 0.00; 0.00 Bohr magnetons per cell
Calculated total energy in order - -1.93; -2.19; -3.44 eV per atom